# 1
First-principles (GGA-PBE) data for a geometry-optimized UMnIr2 structure, as listed in Alexandria.

Cell and atoms, written as POSCAR:
```
UMnIr2
1.0
-1.220 4.427 -0.600
-0.268 1.770 -4.271
-4.113 1.042 -1.821
U Ir Mn
1 2 1
direct
0.500 0.500 0.500
0.759 0.759 0.724
0.241 0.241 0.276
0.000 0.000 0.000
```

Calculated values
D(E_F) (states/eV/cell): 7.8
Formation energy from the elements (eV per atom): -0.213

---

# 2
First-principles (GGA-PBE) data for a geometry-optimized CeErGaIr structure, as listed in Alexandria.

Cell and atoms, written as POSCAR:
```
CeErGaIr
1.0
4.981 0.000 0.000
2.491 4.314 0.000
2.491 1.438 4.067
Ga Ir Ce Er
1 1 1 1
direct
0.750 0.750 0.750
0.250 0.250 0.250
0.500 0.500 0.500
0.000 0.000 0.000
```

Calculated values
D(E_F) (states/eV/cell): 4.7
Formation energy from the elements (eV per atom): -0.601
Offset from the most stable computed form (eV/f.u.): 0.37

---

# 3
First-principles (GGA-PBE) data for a geometry-optimized Tl2Bi2Pd structure, as listed in Alexandria.

Cell and atoms, written as POSCAR:
```
Tl2Bi2Pd
1.0
-0.941 -5.388 -2.759
0.460 -3.046 5.792
-6.861 4.966 -0.558
Tl Bi Pd
4 4 2
direct
0.175 0.852 0.350
0.675 0.498 0.350
0.325 0.502 0.650
0.825 0.148 0.650
0.575 0.897 0.149
0.925 0.748 0.851
0.425 0.103 0.851
0.075 0.252 0.149
0.750 0.500 0.000
0.250 0.500 0.000
```

Calculated values
D(E_F) (states/eV/cell): 4.8
Formation energy from the elements (eV per atom): -0.133
Offset from the most stable computed form (eV/f.u.): 0.00

---

# 4
First-principles (GGA-PBE) data for a geometry-optimized Nd2SmTh3S6 structure, as listed in Alexandria.

Cell and atoms, written as POSCAR:
```
Nd2SmTh3S6
1.0
6.953 0.026 0.011
-3.453 6.035 0.011
-1.157 -2.003 6.667
Th S Nd Sm
3 6 2 1
direct
0.832 0.168 0.500
0.168 0.832 0.500
0.500 0.500 0.500
0.082 0.412 0.247
0.588 0.918 0.753
0.412 0.082 0.247
0.918 0.588 0.753
0.247 0.247 0.750
0.753 0.753 0.250
0.666 0.334 0.000
0.334 0.666 0.000
0.000 0.000 0.000
```

Calculated values
D(E_F) (states/eV/cell): 7.5
Energy relative to the elements, uncorrected (kJ/mol of atoms): -185

---

# 5
First-principles (GGA-PBE) data for a geometry-optimized UTl2Rh2O6 structure, as listed in Alexandria.

Cell and atoms, written as POSCAR:
```
UTl2Rh2O6
1.0
5.457 -0.050 -0.525
-2.740 4.719 -0.525
-1.674 -2.877 7.924
Rh O Tl U
2 6 2 1
direct
0.333 0.667 0.500
0.667 0.333 0.500
0.215 0.215 0.348
0.785 0.785 0.652
0.132 0.481 0.652
0.868 0.519 0.348
0.519 0.868 0.348
0.481 0.132 0.652
0.831 0.169 0.000
0.169 0.831 0.000
0.000 0.000 0.500
```

Calculated values
D(E_F) (states/eV/cell): 4.8
Energy relative to the elements, uncorrected (kJ/mol of atoms): -135

---

# 6
First-principles (GGA-PBE) data for a geometry-optimized SmH12Rh5 structure, as listed in Alexandria.

Cell and atoms, written as POSCAR:
```
SmH12Rh5
1.0
4.919 0.787 -2.500
-1.813 7.054 -1.797
-0.871 -1.000 5.146
Rh H Sm
5 12 1
direct
0.591 0.228 0.679
0.000 0.000 0.000
0.742 0.661 0.932
0.258 0.339 0.068
0.409 0.772 0.321
0.807 0.911 0.120
0.488 0.290 0.950
0.547 0.586 0.433
0.104 0.737 0.345
0.193 0.089 0.880
0.595 0.000 0.735
0.955 0.248 0.065
0.512 0.710 0.050
0.896 0.263 0.655
0.045 0.752 0.935
0.405 0.000 0.265
0.453 0.414 0.567
0.000 0.500 0.500
```

Calculated values
D(E_F) (states/eV/cell): 4.5
Total DFT energy (no corrections) (eV per atom): -4.65

---

# 7
First-principles (GGA-PBE) data for a geometry-optimized CrFe2Ir2 structure, as listed in Alexandria.

Cell and atoms, written as POSCAR:
```
CrFe2Ir2
1.0
-5.927 -0.814 3.752
-3.666 -0.846 -5.976
0.425 -2.603 0.107
Fe Cr Ir
4 2 4
direct
0.167 0.667 0.500
0.833 0.333 0.500
0.667 0.833 0.500
0.333 0.167 0.500
0.500 0.500 0.000
0.000 0.000 0.000
0.368 0.868 0.000
0.632 0.132 0.000
0.868 0.632 0.000
0.132 0.368 0.000
```

Calculated values
D(E_F) (states/eV/cell): 13.6
Formation energy from the elements (eV per atom): 0.309
Offset from the most stable computed form (eV/f.u.): 0.56

---

# 8
First-principles (GGA-PBE) data for a geometry-optimized TbYSc2 structure, as listed in Alexandria.

Cell and atoms, written as POSCAR:
```
TbYSc2
1.0
-1.058 -1.654 2.814
2.093 -2.216 1.577
4.256 6.859 7.725
Sc Y Tb
2 1 1
direct
0.750 0.750 0.749
0.250 0.250 0.251
0.000 0.000 0.000
0.500 0.500 0.500
```

Calculated values
D(E_F) (states/eV/cell): 6.0
Formation energy from the elements (eV per atom): 0.064
Offset from the most stable computed form (eV/f.u.): 0.11

---

# 9
First-principles (GGA-PBE) data for a geometry-optimized MnTlTe2 structure, as listed in Alexandria.

Cell and atoms, written as POSCAR:
```
MnTlTe2
1.0
-4.994 1.635 -0.326
-1.640 -2.226 -4.480
-1.228 -3.332 2.105
Tl Te Mn
1 2 1
direct
0.500 0.000 0.500
0.500 0.500 0.000
0.000 0.000 0.000
0.000 0.500 0.500
```

Calculated values
D(E_F) (states/eV/cell): 1.9
Energy relative to the elements, uncorrected (kJ/mol of atoms): 21

---

# 10
First-principles (GGA-PBE) data for a geometry-optimized Nb2I3 structure, as listed in Alexandria.

Cell and atoms, written as POSCAR:
```
Nb2I3
1.0
3.572 -0.750 0.159
-0.141 7.153 3.877
-1.565 -1.545 11.334
Nb I
4 6
direct
0.509 0.318 0.667
0.009 0.985 0.333
0.048 0.226 0.851
0.548 0.077 0.149
0.162 0.343 0.161
0.970 0.189 0.505
0.941 0.793 0.166
0.441 0.959 0.834
0.470 0.694 0.495
0.662 0.504 0.839
```

Calculated values
D(E_F) (states/eV/cell): 4.4
Energy relative to the elements, uncorrected (kJ/mol of atoms): -9

---

# 11
First-principles (GGA-PBE) data for a geometry-optimized TaAg2Sb structure, as listed in Alexandria.

Cell and atoms, written as POSCAR:
```
TaAg2Sb
1.0
3.575 0.000 0.000
0.000 3.575 0.000
0.000 0.000 6.200
Ta Ag Sb
1 2 1
direct
0.500 0.500 0.739
0.000 0.000 0.012
0.500 0.500 0.220
0.000 0.000 0.529
```

Calculated values
D(E_F) (states/eV/cell): 3.3
Energy relative to the elements, uncorrected (kJ/mol of atoms): 28

---

# 12
First-principles (GGA-PBE) data for a geometry-optimized TmCd5Ag4 structure, as listed in Alexandria.

Cell and atoms, written as POSCAR:
```
TmCd5Ag4
1.0
4.379 0.000 -1.204
-0.184 7.193 -0.670
-0.356 0.759 7.271
Cd Ag Tm
5 4 1
direct
0.500 0.500 0.000
0.171 0.981 0.343
0.829 0.019 0.657
0.170 0.528 0.339
0.830 0.472 0.661
0.987 0.739 0.975
0.337 0.746 0.674
0.013 0.261 0.025
0.663 0.254 0.326
0.500 0.000 0.000
```

Calculated values
D(E_F) (states/eV/cell): 4.9
Formation energy from the elements (eV per atom): -0.052

---

# 13
First-principles (GGA-PBE) data for a geometry-optimized CeY3Tc structure, as listed in Alexandria.

Cell and atoms, written as POSCAR:
```
CeY3Tc
1.0
3.848 0.000 0.632
1.840 5.929 0.827
-0.026 -0.162 12.185
Y Tc Ce
6 2 2
direct
0.456 0.940 0.148
0.109 0.157 0.625
0.759 0.718 0.764
0.987 0.124 0.903
0.436 0.605 0.524
0.791 0.036 0.382
0.751 0.362 0.137
0.430 0.379 0.761
0.115 0.480 0.289
0.227 0.537 0.008
```

Calculated values
D(E_F) (states/eV/cell): 13.1
Formation energy from the elements (eV per atom): -0.040

---

# 14
First-principles (GGA-PBE) data for a geometry-optimized KTb2MnTe4 structure, as listed in Alexandria.

Cell and atoms, written as POSCAR:
```
KTb2MnTe4
1.0
-0.430 0.992 4.267
3.585 -7.027 -0.277
13.832 7.065 -0.250
Te Mn Tb K
8 2 4 2
direct
0.732 0.464 0.612
0.732 0.464 0.888
0.268 0.536 0.112
0.268 0.536 0.388
0.440 0.881 0.750
0.560 0.119 0.250
0.000 0.000 0.500
0.000 0.000 0.000
0.837 0.673 0.750
0.163 0.327 0.250
0.368 0.736 0.563
0.632 0.264 0.063
0.368 0.736 0.937
0.632 0.264 0.437
0.885 0.770 0.250
0.115 0.230 0.750
```

Calculated values
D(E_F) (states/eV/cell): 7.0
Energy relative to the elements, uncorrected (kJ/mol of atoms): -104

---

# 15
First-principles (GGA-PBE) data for a geometry-optimized TbScSbO2 structure, as listed in Alexandria.

Cell and atoms, written as POSCAR:
```
TbScSbO2
1.0
3.762 0.000 0.000
0.000 3.762 0.000
-1.881 -1.881 6.526
Sc O Sb Tb
1 2 1 1
direct
0.172 0.172 0.344
0.743 0.243 0.487
0.243 0.743 0.487
0.505 0.505 0.011
0.836 0.836 0.672
```

Calculated values
D(E_F) (states/eV/cell): 1.2
Energy relative to the elements, uncorrected (kJ/mol of atoms): -252

---

# 16
First-principles (GGA-PBE) data for a geometry-optimized SrZr2Pt structure, as listed in Alexandria.

Cell and atoms, written as POSCAR:
```
SrZr2Pt
1.0
-3.347 3.126 3.403
-3.367 -3.083 3.422
5.570 -0.022 -1.235
Pt Zr Sr
1 2 1
direct
0.500 0.500 0.000
0.000 0.000 0.000
0.250 0.750 0.500
0.750 0.250 0.500
```

Calculated values
D(E_F) (states/eV/cell): 7.1
Formation energy from the elements (eV per atom): 0.161
Offset from the most stable computed form (eV/f.u.): 2.11

---

# 17
First-principles (GGA-PBE) data for a geometry-optimized YMnRe2 structure, as listed in Alexandria.

Cell and atoms, written as POSCAR:
```
YMnRe2
1.0
-3.879 0.546 -2.278
-3.915 -1.360 1.832
-3.034 3.063 1.394
Mn Re Y
1 2 1
direct
0.500 0.500 0.500
0.000 0.000 0.000
0.750 0.750 0.750
0.250 0.250 0.250
```

Calculated values
D(E_F) (states/eV/cell): 3.7
Formation energy from the elements (eV per atom): 0.318
Offset from the most stable computed form (eV/f.u.): 0.51

---

# 18
First-principles (GGA-PBE) data for a geometry-optimized NdZrCu4 structure, as listed in Alexandria.

Cell and atoms, written as POSCAR:
```
NdZrCu4
1.0
5.213 0.000 0.000
2.606 4.514 0.000
2.606 1.505 4.256
Zr Cu Nd
1 4 1
direct
0.250 0.250 0.250
0.624 0.624 0.624
0.624 0.128 0.624
0.128 0.624 0.624
0.624 0.624 0.128
0.000 0.000 0.000
```

Calculated values
D(E_F) (states/eV/cell): 6.3
Formation energy from the elements (eV per atom): -0.016

---

# 19
First-principles (GGA-PBE) data for a geometry-optimized SrTlNiBi2 structure, as listed in Alexandria.

Cell and atoms, written as POSCAR:
```
SrTlNiBi2
1.0
5.792 0.000 0.000
0.000 5.792 0.000
0.000 0.000 6.109
Ni Bi Tl Sr
1 2 1 1
direct
0.500 0.500 0.500
0.000 0.500 0.000
0.500 0.000 0.000
0.000 0.000 0.000
0.000 0.000 0.500
```

Calculated values
D(E_F) (states/eV/cell): 9.3
Formation energy from the elements (eV per atom): 0.938
Offset from the most stable computed form (eV/f.u.): 5.59

---

# 20
First-principles (GGA-PBE) data for a geometry-optimized CaZnCr structure, as listed in Alexandria.

Cell and atoms, written as POSCAR:
```
CaZnCr
1.0
-4.132 -3.462 -2.408
-0.850 -5.828 0.412
1.064 4.985 2.980
Cr Ca Zn
1 1 1
direct
0.703 0.703 0.000
0.997 0.997 0.000
0.300 0.300 0.000
```

Calculated values
D(E_F) (states/eV/cell): 2.2
Formation energy from the elements (eV per atom): 0.280